A geometry-optimized Fe2AgWO structure, computed with GGA-PBEsol.

The energy relative to the elements, uncorrected is 0.069 eV/atom. As for the crystal system: tetragonal.

Cell lengths 3.917, 3.917, 3.993 Å; angles 90.00, 90.00, 90.00 degrees
Space group P4/mmm (No. 123)
Inequivalent atoms, fractional coordinates:
Fe 0.000 0.500 0.000
Ag 0.000 0.000 0.500
W 0.500 0.500 0.500
O 0.500 0.500 0.000


A geometry-optimized CrPbAu2 structure, computed with GGA-PBEsol.

As for the crystal system: trigonal. As for the formation energy: 0.339 eV/atom.

Cell lengths 3.2360, 3.2360, 26.1157 Å; angles 90.00, 90.00, 120.00 degrees
Space group R-3m (No. 166, hexagonal axes)
Inequivalent atoms, fractional coordinates:
Cr 0.0000 0.0000 0.0000
Pb 0.0000 0.0000 0.5000
Au 0.0000 0.0000 0.2610


A geometry-optimized Y2CrPt structure, computed with GGA-PBEsol.

As for the crystal system: trigonal. As for the formation energy: -0.222 eV/atom.

Cell lengths 4.2290, 4.2290, 18.4078 Å; angles 90.00, 90.00, 120.00 degrees
Space group R3m (No. 160, hexagonal axes)
Inequivalent atoms, fractional coordinates:
Y 0.0000 0.0000 0.0000
Y 0.0000 0.0000 0.1903
Cr 0.0000 0.0000 0.7650
Pt 0.0000 0.0000 0.4216


A geometry-optimized CoCuNi2 structure, computed with GGA-PBEsol.

As for the crystal system: tetragonal. As for the formation energy: 0.008 eV/atom.

Cell lengths 2.460, 2.460, 6.965 Å; angles 90.00, 90.00, 90.00 degrees
Space group P4/mmm (No. 123)
Inequivalent atoms, fractional coordinates:
Co 0.000 0.000 0.000
Cu 0.000 0.000 0.500
Ni 0.500 0.500 0.242


A geometry-optimized TaCdSe2 structure, computed with GGA-PBEsol.

The energy relative to the elements, uncorrected is -0.179 eV/atom. As for the crystal system: orthorhombic.

Cell lengths 4.882, 3.562, 9.154 Å; angles 90.00, 90.00, 90.00 degrees
Space group Amm2 (No. 38)
Inequivalent atoms, fractional coordinates:
Ta 0.000 0.000 0.000
Cd 0.500 0.000 0.386
Se 0.000 0.000 0.715
Se 0.500 0.000 0.102


A geometry-optimized LaMgOs structure, computed with GGA-PBEsol.

As for the crystal system: cubic. As for the formation energy: 0.257 eV/atom.

Cell lengths 6.586, 6.586, 6.586 Å; angles 90.00, 90.00, 90.00 degrees
Space group F-43m (No. 216)
Inequivalent atoms, fractional coordinates:
La 0.000 0.000 0.000
Mg 0.000 0.000 0.500
Os 0.250 0.250 0.750


A geometry-optimized LiGeSbTe3 structure, computed with GGA-PBEsol.

The energy relative to the elements, uncorrected is -0.321 eV/atom. As for the crystal system: trigonal.

Cell lengths 4.2263, 4.2263, 10.4542 Å; angles 90.00, 90.00, 120.00 degrees
Space group P3m1 (No. 156)
Inequivalent atoms, fractional coordinates:
Li 0.0000 0.0000 0.0000
Ge 0.6667 0.3333 0.3100
Sb 0.3333 0.6667 0.6628
Te 0.0000 0.0000 0.4887
Te 0.3333 0.6667 0.1639
Te 0.6667 0.3333 0.8394


A geometry-optimized Ce3Ni4Ge4 structure, computed with GGA-PBEsol.

As for the crystal system: orthorhombic. As for the formation energy: -0.675 eV/atom.

Cell lengths 4.163, 6.503, 13.658 Å; angles 90.00, 90.00, 90.00 degrees
Space group Immm (No. 71)
Inequivalent atoms, fractional coordinates:
Ce 0.000 0.000 0.000
Ce 0.000 0.500 0.133
Ni 0.000 0.305 0.326
Ge 0.000 0.000 0.214
Ge 0.000 0.195 0.500


A geometry-optimized AlH6N2Cl3 structure, computed with GGA-PBEsol.

The raw total energy comes out at -0.3545 Ry/atom. As for the crystal system: orthorhombic.

Cell lengths 11.151, 18.245, 6.317 Å; angles 90.00, 90.00, 90.00 degrees
Space group Pnma (No. 62)
Inequivalent atoms, fractional coordinates:
Al 0.000 0.000 0.000
Al 0.235 0.250 0.446
H 0.060 0.124 0.163
H 0.085 0.549 0.357
H 0.097 0.615 0.177
H 0.116 0.120 0.921
H 0.183 0.078 0.120
H 0.194 0.547 0.179
N 0.100 0.089 0.057
N 0.104 0.559 0.199
Cl 0.088 0.750 0.086
Cl 0.129 0.532 0.721
Cl 0.139 0.154 0.552
Cl 0.250 0.250 0.111


A geometry-optimized Mg2TlTe structure, computed with GGA-PBEsol.

The energy relative to the elements, uncorrected is -0.249 eV/atom. As for the crystal system: tetragonal.

Cell lengths 4.203, 4.203, 11.474 Å; angles 90.00, 90.00, 90.00 degrees
Space group I-4m2 (No. 119)
Inequivalent atoms, fractional coordinates:
Mg 0.000 0.000 0.000
Mg 0.000 0.500 0.250
Tl 0.000 0.500 0.750
Te 0.000 0.000 0.500


A geometry-optimized KTlP4 structure, computed with GGA-PBEsol.

As for the crystal system: cubic. As for the formation energy: 0.099 eV/atom.

Cell lengths 8.029, 8.029, 8.029 Å; angles 90.00, 90.00, 90.00 degrees
Space group F-43m (No. 216)
Inequivalent atoms, fractional coordinates:
K 0.000 0.000 0.000
Tl 0.250 0.250 0.250
P 0.102 0.102 0.602


A geometry-optimized LiMg3 structure, computed with GGA-PBEsol.

As for the crystal system: triclinic. As for the formation energy: -0.035 eV/atom.

Cell lengths 3.527, 4.866, 5.688 Å; angles 115.26, 107.95, 90.01 degrees
Space group P-1 (No. 2)
Inequivalent atoms, fractional coordinates:
Li 0.000 0.000 0.000
Mg 0.262 0.762 0.524
Mg 0.500 0.500 0.000


A geometry-optimized Li2TlAg2 structure, computed with GGA-PBEsol.

As for the crystal system: tetragonal. As for the formation energy: 0.043 eV/atom.

Cell lengths 3.958, 3.958, 12.542 Å; angles 90.00, 90.00, 90.00 degrees
Space group I4/mmm (No. 139)
Inequivalent atoms, fractional coordinates:
Li 0.000 0.500 0.250
Tl 0.000 0.000 0.000
Ag 0.000 0.000 0.393


A geometry-optimized NaZnP structure, computed with GGA-PBEsol.

As for the crystal system: tetragonal. As for the formation energy: -0.399 eV/atom.

Cell lengths 4.003, 4.003, 6.849 Å; angles 90.00, 90.00, 90.00 degrees
Space group P4/nmm (No. 129, origin choice 2)
Inequivalent atoms, fractional coordinates:
Na 0.250 0.250 0.144
Zn 0.250 0.750 0.500
P 0.250 0.250 0.712


A geometry-optimized TiCdTc2Te structure, computed with GGA-PBEsol.

The energy relative to the elements, uncorrected is 2.150 eV/atom. As for the crystal system: tetragonal.

Cell lengths 4.924, 4.924, 5.181 Å; angles 90.00, 90.00, 90.00 degrees
Space group P4/mmm (No. 123)
Inequivalent atoms, fractional coordinates:
Ti 0.000 0.000 0.000
Cd 0.500 0.500 0.500
Tc 0.000 0.500 0.500
Te 0.500 0.500 0.000


A geometry-optimized TiCuC2 structure, computed with GGA-PBEsol.

As for the crystal system: tetragonal. As for the formation energy: 0.889 eV/atom.

Cell lengths 3.905, 3.905, 11.528 Å; angles 90.00, 90.00, 90.00 degrees
Space group I-42d (No. 122)
Inequivalent atoms, fractional coordinates:
Ti 0.000 0.000 0.000
Cu 0.000 0.000 0.500
C 0.205 0.250 0.625


A geometry-optimized Ca2TaTc structure, computed with GGA-PBEsol.

As for the crystal system: tetragonal. As for the formation energy: 0.812 eV/atom.

Cell lengths 2.814, 2.814, 10.231 Å; angles 90.00, 90.00, 90.00 degrees
Space group P4/mmm (No. 123)
Inequivalent atoms, fractional coordinates:
Ca 0.000 0.000 0.236
Ta 0.500 0.500 0.500
Tc 0.500 0.500 0.000


A geometry-optimized LiCl2 structure, computed with GGA-PBEsol.

The energy relative to the elements, uncorrected is -0.950 eV/atom. As for the crystal system: orthorhombic.

Cell lengths 2.627, 3.388, 13.225 Å; angles 90.00, 90.00, 90.00 degrees
Space group Immm (No. 71)
Inequivalent atoms, fractional coordinates:
Li 0.000 0.000 0.000
Cl 0.000 0.000 0.378


A geometry-optimized YTaFe2 structure, computed with GGA-PBEsol.

As for the crystal system: cubic. As for the formation energy: 0.429 eV/atom.

Cell lengths 6.268, 6.268, 6.268 Å; angles 90.00, 90.00, 90.00 degrees
Space group F-43m (No. 216)
Inequivalent atoms, fractional coordinates:
Y 0.000 0.000 0.000
Ta 0.250 0.250 0.250
Fe 0.000 0.000 0.500
Fe 0.250 0.250 0.750


A geometry-optimized K2CdPt structure, computed with GGA-PBEsol.

As for the crystal system: orthorhombic. As for the formation energy: 0.207 eV/atom.

Cell lengths 2.923, 4.461, 8.456 Å; angles 90.00, 90.00, 90.00 degrees
Space group Pmmm (No. 47)
Inequivalent atoms, fractional coordinates:
K 0.000 0.000 0.209
Cd 0.500 0.500 0.500
Pt 0.500 0.500 0.000


Magnetic moment across the listed records, respectively: 4.197, 3.614, 2.146, 2.649, 0.000, 0.001, 0.000, 0.002, 0.000, 0.000, 0.000, 0.000, 0.000, 0.000, 3.472, 0.000, 0.000, 0.000, 3.213, 0.000 μB per formula unit.